Below is a geometry-optimized CrP3F structure, with properties calculated at the GGA+U level.

DOS at the Fermi energy	4.2	states/eV per cell
total energy	-4.60	eV per atom

a b c (Å): 4.349 4.349 4.349
angles (deg): 90.00 90.00 90.00
Fractional positions:
Cr1 0.000 0.000 0.000
F1 0.500 0.500 0.500
P1 0.000 0.500 0.000
P2 0.000 0.000 0.500
P3 0.500 0.000 0.000